The following is a PBE+U calculation of a relaxed structure of YVBi2O6, from Alexandria.

The structure belongs to space group P2_1/c (No. 14); the cell edges are 5.354, 5.761 and 11.598 Å and the angles 90.00°, 116.75° and 90.00°. The distinct sites, in fractional coordinates, are Y at (0.000, 0.000, 0.000), V at (0.500, 0.000, 0.500), Bi at (0.218, 0.071, 0.742), O at (0.204, 0.713, 0.940), O at (0.208, 0.245, 0.908) and O at (0.348, 0.090, 0.199).

For the calculated volume, the calculation gives 15.97 Å³/atom. As for the final energy: -7.008 eV/atom.